Entry 1:
VASP calculation (PBE) on a relaxed Dy2TmGa crystal.

**Crystal system**: trigonal
**Uncorrected energy**: -17.48 eV/f.u.
**Formation energy from the elements**: -194.2 meV/atom
**Offset from the most stable computed form**: 85 meV per atom
**Theoretical density**: 8.27 Mg/m³

Cell: 3.5926 3.5926 30.3696 Å, 90.00 90.00 120.00°
Space group R3m (No. 160, hexagonal axes)
Symmetry-distinct sites (fractional):
Dy 0.0000 0.0000 0.0000 x3
Dy 0.0000 0.0000 0.1896 x3
Tm 0.0000 0.0000 0.4283 x3
Ga 0.0000 0.0000 0.5945 x3

---

Entry 2:
VASP calculation (PBE) on a relaxed Tb2BeRh3 crystal.

**Crystal system**: trigonal
**Uncorrected energy**: -39.49 eV/f.u.
**Formation energy from the elements**: -741.2 meV/atom
**Theoretical density**: 10.38 Mg/m³

Cell: 5.5487 5.5487 11.4442 Å, 90.00 90.00 120.00°
Space group R-3m (No. 166, hexagonal axes)
Symmetry-distinct sites (fractional):
Tb 0.0000 0.0000 0.1307 x6
Be 0.0000 0.0000 0.5000 x3
Rh 0.0000 0.5000 0.0000 x9

---

Entry 3:
VASP calculation (PBE) on a relaxed KAgP3 crystal.

**Crystal system**: cubic
**Uncorrected energy**: -16.36 eV/f.u.
**Formation energy from the elements**: 762.7 meV/atom
**Offset from the most stable computed form**: 0 meV per atom
**Theoretical density**: 3.23 Mg/m³

Cell: 4.979 4.979 4.979 Å, 90.00 90.00 90.00°
Space group Pm-3m (No. 221)
Symmetry-distinct sites (fractional):
K 0.000 0.000 0.000 x1
Ag 0.500 0.500 0.500 x1
P 0.000 0.500 0.500 x3

---

Entry 4:
VASP calculation (PBE) on a relaxed Pr3SmHo2 crystal.

**Crystal system**: orthorhombic
**Uncorrected energy**: -26.45 eV/f.u.
**Formation energy from the elements**: 294.6 meV/atom
**Offset from the most stable computed form**: 187 meV per atom
**Theoretical density**: 6.86 Mg/m³

Cell: 11.517 11.638 6.522 Å, 90.00 90.00 90.00°
Space group Imma (No. 74)
Symmetry-distinct sites (fractional):
Pr 0.215 0.000 0.000 x8
Pr 0.250 0.250 0.250 x4
Sm 0.000 0.250 0.792 x4
Ho 0.000 0.094 0.309 x8

---

Entry 5:
VASP calculation (PBE) on a relaxed FeIrBr2 crystal.

**Crystal system**: monoclinic
**E_form (uncorrected)**: 0.25 eV per atom
**Uncorrected energy**: -19.66 eV/f.u.
**Offset from the most stable computed form**: 136 meV per atom
**Theoretical density**: 6.67 Mg/m³

Cell: 15.804 3.281 3.916 Å, 90.00 90.13 90.00°
Space group C2/m (No. 12)
Symmetry-distinct sites (fractional):
Fe 0.000 0.000 0.000 x2
Ir 0.000 0.500 0.500 x2
Br 0.142 0.500 0.254 x4

---

Entry 6:
VASP calculation (PBE) on a relaxed Na3BiSe3 crystal.

**Crystal system**: monoclinic
**E_form (uncorrected)**: -0.76 eV per atom
**Uncorrected energy**: -23.62 eV/f.u.
**Theoretical density**: 4.05 Mg/m³

Cell: 8.553 12.517 8.006 Å, 90.00 100.22 90.00°
Space group C2/m (No. 12)
Symmetry-distinct sites (fractional):
Na 0.000 0.162 0.000 x4
Na 0.000 0.199 0.500 x4
Na 0.142 0.500 0.128 x4
Bi 0.214 0.500 0.614 x4
Se 0.031 0.000 0.738 x4
Se 0.120 0.342 0.795 x8

---

Entry 7:
VASP calculation (PBE) on a relaxed Ca2MnAl3Au12 crystal.

**Crystal system**: trigonal
**Uncorrected energy**: -66.25 eV/f.u.
**Formation energy from the elements**: -139.9 meV/atom
**Theoretical density**: 10.38 Mg/m³

Cell: 8.5960 8.5960 19.3520 Å, 90.00 90.00 120.00°
Space group R-3m (No. 166, hexagonal axes)
Symmetry-distinct sites (fractional):
Ca 0.0000 0.0000 0.1104 x6
Mn 0.0000 0.0000 0.5000 x3
Al 0.0000 0.5000 0.0000 x9
Au 0.0056 0.5028 0.8705 x18
Au 0.0189 0.5095 0.3699 x18

---

Entry 8:
VASP calculation (PBE) on a relaxed Ag6Te5 crystal.

**Crystal system**: monoclinic
**E_form (uncorrected)**: 0.06 eV per atom
**Uncorrected energy**: -32.18 eV/f.u.
**Theoretical density**: 7.21 Mg/m³

Cell: 7.221 12.438 6.966 Å, 90.00 108.89 90.00°
Space group C2/m (No. 12)
Symmetry-distinct sites (fractional):
Ag 0.240 0.170 0.233 x8
Ag 0.246 0.000 0.725 x4
Te 0.000 0.000 0.000 x2
Te 0.000 0.171 0.500 x4
Te 0.000 0.354 0.000 x4

---

Entry 9:
VASP calculation (PBE) on a relaxed YTa2Sb crystal.

**Crystal system**: tetragonal
**E_form (uncorrected)**: 0.45 eV per atom
**Uncorrected energy**: -32.51 eV/f.u.
**Theoretical density**: 10.78 Mg/m³

Cell: 3.098 3.098 9.189 Å, 90.00 90.00 90.00°
Space group P4/mmm (No. 123)
Symmetry-distinct sites (fractional):
Y 0.000 0.000 0.000 x1
Ta 0.500 0.500 0.272 x2
Sb 0.000 0.000 0.500 x1

---

Entry 10:
VASP calculation (PBE) on a relaxed YHgPb2 crystal.

**Crystal system**: trigonal
**Uncorrected energy**: -14.40 eV/f.u.
**Formation energy from the elements**: -53.1 meV/atom
**Theoretical density**: 9.36 Mg/m³

Cell: 4.8087 4.8087 18.7126 Å, 90.00 90.00 120.00°
Space group R3m (No. 160, hexagonal axes)
Symmetry-distinct sites (fractional):
Y 0.0000 0.0000 0.0000 x3
Hg 0.0000 0.0000 0.8253 x3
Pb 0.0000 0.0000 0.4079 x3
Pb 0.0000 0.0000 0.5783 x3